First-principles (PBE) data for crystalline Er2ThSb at its relaxed geometry, as listed in Alexandria via LeMat-Bulk.

Its formation energy (no corrections) is -475 meV/atom. As for the spin magnetization: 0.0 μB per formula unit. The calculated total energy is -22.57 eV per cell. The energy above the most stable polymorph in this dataset comes out at 0.000 eV per atom.

Cell lengths 3.8993, 3.8993, 7.4165 Å; angles 90.00, 90.00, 90.00 degrees
Closest atoms and distances in Å follow each position.
Space group P4/mmm (No. 123)
Symmetry-distinct sites (fractional):
Er 0.0000 0.0000 0.2194 x2  4 Sb 3.20, 1 Er 3.25, 4 Th 3.45
Th 0.5000 0.5000 0.5000 x1  8 Er 3.45, 2 Sb 3.71
Sb 0.5000 0.5000 0.0000 x1  8 Er 3.20

---

First-principles (PBE) data for crystalline La2HgRuC at its relaxed geometry, as listed in Alexandria via LeMat-Bulk.

As for the spin magnetization: 0.0 μB per formula unit. The calculated formation energy is -1.76 eV per formula unit. The calculated total energy is -30.42 eV per cell.

Cell lengths 5.3998, 5.3998, 3.9489 Å; angles 90.00, 90.00, 90.00 degrees
Closest atoms and distances in Å follow each position.
Space group P4/mmm (No. 123)
Symmetry-distinct sites (fractional):
La 0.0000 0.5000 0.0000 x2  2 C 2.70
Hg 0.0000 0.0000 0.5000 x1  8 La 3.34
Ru 0.5000 0.5000 0.5000 x1  2 C 1.97
C 0.5000 0.5000 0.0000 x1  2 Ru 1.97